Compound: Li4U3FeSe8
Source: Alexandria via LeMat-Bulk
Functional: PBE-GGA
Structure: relaxed

CIF file:
```
data_Li4U3FeSe8
_symmetry_space_group_name_H-M 'R -3 m'
_symmetry_Int_Tables_number 166
_symmetry_space_group_name_Hall '-R 3 2"'
_cell_length_a 7.8944
_cell_length_b 7.8944
_cell_length_c 19.6963
_cell_angle_alpha 90.00
_cell_angle_beta 90.00
_cell_angle_gamma 120.00
loop_
_atom_site_label
_atom_site_fract_x
_atom_site_fract_y
_atom_site_fract_z
Li1 0.0000 0.0000 0.0000
Li2 0.0000 0.5000 0.0000
U1 0.0000 0.5000 0.5000
Fe1 0.0000 0.0000 0.5000
Se1 0.0000 0.0000 0.2550
Se2 0.0131 0.5066 0.2498
```

Results
Total magnetization = 10.6 μB/f.u.
Crystal system = trigonal
E_form (uncorrected) = -1033 meV per atom